Entry from the Alexandria database: a geometry-optimized Li2Ho5Bi5 structure (PBE).

Lattice parameters (Å, degrees): 4.4110 7.6602 12.1556 113.11 90.00 106.73
Positions (direct):
Li: 0.0686 0.1372 0.7914
Li: 0.9314 0.8628 0.2086
Ho: 0.5000 0.0000 0.5000
Ho: 0.6565 0.3129 0.0258
Ho: 0.7161 0.4321 0.3387
Ho: 0.2839 0.5679 0.6613
Ho: 0.3435 0.6871 0.9742
Bi: 0.1057 0.2114 0.4149
Bi: 0.6935 0.3871 0.7844
Bi: 0.3065 0.6129 0.2156
Bi: 0.8943 0.7886 0.5851
Bi: 0.0000 0.0000 0.0000

Summary:
ΔE_f: -593.1 meV per atom
total DFT energy (no corrections): -53.2 eV/cell
crystal system: monoclinic